Record 1
6
Lattice="-0.287 -2.221 1.912 2.178 -0.043 -1.990 7.077 5.650 7.621" Properties=species:S:1:pos:R:3 comment="CrRuSe, optimized geometry, DFT PBE" e_form_raw_ev_per_atom=0.193 polymorph_energy_ev_per_atom=0.0893 total_magnetization_mub_per_fu=0.6 pbc="T T T"
Cr 1.850 -1.049 -0.941
Cr 5.299 1.827 2.915
Se 3.457 0.293 3.125
Se 5.488 1.914 5.313
Ru 6.483 4.483 6.178
Ru 1.608 0.592 0.928

***

Record 2
4
Lattice="2.747 -0.010 0.000 -1.115 2.510 0.000 0.000 0.000 8.170" Properties=species:S:1:pos:R:3 comment="Cr2RuSe, optimized geometry, DFT PBE" e_form_raw_ev_per_atom=0.476 total_magnetization_mub_per_fu=0.1 pbc="T T T"
Cr 0.000 0.000 0.170
Cr 0.816 1.250 1.919
Ru 0.000 0.000 3.892
Se 0.816 1.250 6.272

***

Record 3
4
Lattice="-1.072 4.963 -0.015 -1.585 2.098 -4.344 -0.908 -3.544 3.520" Properties=species:S:1:pos:R:3 comment="Cr2RuSe, optimized geometry, DFT PBE" e_form_raw_ev_per_atom=0.232 total_magnetization_mub_per_fu=0.2 pbc="T T T"
Cr -0.044 0.117 -0.072
Cr -1.662 2.494 0.651
Ru -1.278 3.395 -2.096
Se -1.910 1.040 -1.500

***

Record 4
4
Lattice="-1.081 -4.928 6.287 -2.427 -6.405 4.250 0.400 -6.641 4.551" Properties=species:S:1:pos:R:3 comment="Cr2RuSe, optimized geometry, DFT PBE" e_form_raw_ev_per_atom=0.309 total_magnetization_mub_per_fu=0.0 pbc="T T T"
Cr -3.103 -17.947 15.065
Cr -0.787 -4.553 3.822
Ru -1.577 -9.119 7.655
Se -2.302 -13.317 11.178

***

Record 5
3
Lattice="5.294 -0.007 0.008 4.492 2.802 0.009 0.802 0.228 2.800" Properties=species:S:1:pos:R:3 comment="CrRuSe, optimized geometry, DFT PBE" e_form_raw_ev_per_atom=0.169 polymorph_energy_ev_per_atom=0.0649 total_magnetization_mub_per_fu=0.0 pbc="T T T"
Cr 0.835 0.237 2.790
Ru 3.857 1.101 1.854
Se 6.699 1.913 0.974

***

Record 6
4
Lattice="-2.211 -0.574 -1.889 -0.067 -2.813 0.933 -4.061 1.519 4.291" Properties=species:S:1:pos:R:3 comment="Cr2RuSe, optimized geometry, DFT PBE" e_form_raw_ev_per_atom=0.157 total_magnetization_mub_per_fu=0.1 pbc="T T T"
Cr -4.046 1.514 4.276
Cr -2.132 -1.322 0.570
Ru -1.927 0.721 2.036
Se -4.325 -0.501 2.888

***

Record 7
6
Lattice="0.000 3.393 3.393 3.393 0.000 3.393 3.393 3.393 0.000" Properties=species:S:1:pos:R:3 comment="Cr4RuSe, optimized geometry, DFT PBE" e_form_raw_ev_per_atom=0.481 total_magnetization_mub_per_fu=0.0 pbc="T T T"
Cr 2.537 4.249 4.249
Cr 4.249 4.249 2.537
Cr 4.249 2.537 4.249
Cr 2.537 2.537 2.537
Ru 5.090 5.090 5.090
Se 0.000 0.000 0.000

***

Record 8
5
Lattice="-2.875 2.907 1.866 -3.420 -2.219 -1.812 -0.253 -2.598 3.659" Properties=species:S:1:pos:R:3 comment="CrSiRu2Se, optimized geometry, DFT PBE" e_form_raw_ev_per_atom=1.144 total_magnetization_mub_per_fu=0.5 pbc="T T T"
Ru -0.126 -1.299 1.829
Ru -1.438 1.454 0.933
Si -3.274 -0.955 1.856
Se -1.710 -1.109 -0.906
Cr 0.000 0.000 0.000

***

Record 9
5
Lattice="4.436 0.000 0.000 0.000 4.445 0.000 0.000 0.000 4.436" Properties=species:S:1:pos:R:3 comment="TaCrRu2Se, optimized geometry, DFT PBE" e_form_raw_ev_per_atom=1.099 total_magnetization_mub_per_fu=0.0 pbc="T T T"
Ru 0.000 0.000 2.218
Ru 2.218 0.000 0.000
Cr 0.000 0.000 0.000
Se 0.000 2.222 0.000
Ta 2.218 2.222 2.218

***

Record 10
7
Lattice="-1.467 0.584 3.785 -4.049 0.012 0.651 -1.685 -6.399 2.556" Properties=species:S:1:pos:R:3 comment="CrSi2Ru4, optimized geometry, DFT PBE" e_form_raw_ev_per_atom=-0.250 total_magnetization_mub_per_fu=1.5 pbc="T T T"
Cr 0.000 0.000 0.000
Si -5.402 -4.338 5.242
Si -1.800 -1.465 1.750
Ru -5.458 -1.926 4.848
Ru -1.744 -3.876 2.144
Ru -3.658 -0.425 3.092
Ru -3.543 -5.378 3.900

***

Record 11
4
Lattice="3.762 0.000 0.000 0.000 2.767 -0.008 0.000 2.779 5.058" Properties=species:S:1:pos:R:3 comment="CrSiRu2, optimized geometry, DFT PBE" e_form_raw_ev_per_atom=-0.192 total_magnetization_mub_per_fu=0.0 pbc="T T T"
Cr 1.881 4.157 3.823
Ru 0.000 2.780 4.862
Ru 1.881 1.389 1.511
Si 0.000 2.773 2.438

***

Record 12
5
Lattice="4.222 0.000 0.000 0.000 4.222 0.000 0.000 0.000 4.222" Properties=species:S:1:pos:R:3 comment="Cr3SiRu, optimized geometry, DFT PBE" e_form_raw_ev_per_atom=1.127 polymorph_energy_ev_per_atom=0.0000 total_magnetization_mub_per_fu=3.0 pbc="T T T"
Ru 2.111 2.111 2.111
Si 0.000 0.000 0.000
Cr 0.000 2.111 0.000
Cr 0.000 0.000 2.111
Cr 2.111 0.000 0.000